# 1
The following is a PBE calculation of AlTlSbSe4 after structural relaxation, from Alexandria via LeMat-Bulk.

Output
- raw total energy (eV per atom) = -3.84
- uncorrected formation energy (eV/atom) = -0.387

The structure in POSCAR format:
```
AlTlSbSe4
1.0
6.757 0.000 0.000
0.000 6.852 0.000
-3.040 0.000 8.686
Al Tl Sb Se
2 2 2 8
direct
0.226 0.250 0.324 Al
0.774 0.750 0.676 Al
0.258 0.750 0.058 Tl
0.742 0.250 0.942 Tl
0.230 0.750 0.574 Sb
0.770 0.250 0.426 Sb
0.028 0.012 0.720 Se
0.028 0.488 0.720 Se
0.434 0.250 0.159 Se
0.470 0.250 0.579 Se
0.530 0.750 0.421 Se
0.566 0.750 0.841 Se
0.972 0.512 0.280 Se
0.972 0.988 0.280 Se
```

***

# 2
The following is a PBE calculation of TaAsPb2 after structural relaxation, from Alexandria via LeMat-Bulk.

Output
- raw total energy (eV per atom) = -5.27
- energy relative to the elements (eV per atom) = 0.709

The structure in POSCAR format:
```
TaAsPb2
1.0
7.240 0.000 0.000
0.000 7.240 0.000
0.000 0.000 7.240
Ta As Pb
4 4 8
direct
0.000 0.000 0.000 Ta
0.000 0.500 0.500 Ta
0.500 0.000 0.500 Ta
0.500 0.500 0.000 Ta
0.250 0.250 0.250 As
0.250 0.750 0.750 As
0.750 0.250 0.750 As
0.750 0.750 0.250 As
0.000 0.000 0.500 Pb
0.000 0.500 0.000 Pb
0.250 0.250 0.750 Pb
0.250 0.750 0.250 Pb
0.500 0.000 0.000 Pb
0.500 0.500 0.500 Pb
0.750 0.250 0.250 Pb
0.750 0.750 0.750 Pb
```

***

| no. | size of the total moment (μB per cell) |
| --- | --- |
| 1 | 0.00 |
| 2 | 6.13 |